Record 1
Below is a geometry-optimized AcDySi2Pt5 structure, with properties calculated at the PBE level.

Properties
- Crystal system: tetragonal
- Electronic total energy: -6.5144 eV per atom

a = 4.3403 Å, b = 4.3403 Å, c = 8.9951 Å
α = 90.00°, β = 90.00°, γ = 90.00°
Positions (direct):
Pt: 0.5000 0.0000 0.7505
Pt: 0.0000 0.5000 0.7505
Si: 0.5000 0.5000 0.8680
Ac: 0.0000 0.0000 0.5000
Dy: 0.0000 0.0000 0.0000
Pt: 0.5000 0.5000 0.5000
Pt: 0.0000 0.5000 0.2495
Pt: 0.5000 0.0000 0.2495
Si: 0.5000 0.5000 0.1320

=====

Record 2
Below is a geometry-optimized Ac2DySi3Pt12 structure, with properties calculated at the PBE level.

Properties
- Crystal system: trigonal
- Electronic total energy: -6.2180 eV per atom

a = 7.9006 Å, b = 7.9006 Å, c = 7.9006 Å
α = 64.05°, β = 64.05°, γ = 64.05°
Positions (direct):
Pt: 0.8628 0.3973 0.8628
Pt: 0.9019 0.3452 0.3452
Ac: 0.6038 0.6038 0.6038
Pt: 0.6548 0.6548 0.0981
Pt: 0.3452 0.9019 0.3452
Dy: 0.0000 0.0000 0.0000
Pt: 0.6027 0.1372 0.1372
Ac: 0.3962 0.3962 0.3962
Si: 0.5000 0.0000 0.0000
Pt: 0.0981 0.6548 0.6548
Pt: 0.1372 0.6027 0.1372
Si: 0.0000 0.0000 0.5000
Pt: 0.1372 0.1372 0.6027
Pt: 0.3973 0.8628 0.8628
Si: 0.0000 0.5000 0.0000
Pt: 0.3452 0.3452 0.9019
Pt: 0.6548 0.0981 0.6548
Pt: 0.8628 0.8628 0.3973

=====

Record 3
Below is a geometry-optimized AcDySi2Pt2 structure, with properties calculated at the PBE level.

Properties
- Crystal system: trigonal
- Electronic total energy: -6.3881 eV per atom

a = 4.2154 Å, b = 4.2154 Å, c = 8.5514 Å
α = 90.00°, β = 90.00°, γ = 120.00°
Positions (direct):
Pt: 0.3333 0.6667 0.7249
Dy: 0.0000 0.0000 0.5000
Ac: 0.0000 0.0000 0.0000
Si: 0.3333 0.6667 0.2690
Pt: 0.6667 0.3333 0.2751
Si: 0.6667 0.3333 0.7310

=====

Number 1: DOS(E_F) 2.69 states/eV/cell. Number 2: DOS(E_F) 8.16 states/eV/cell. Number 3: DOS(E_F) 3.94 states/eV/cell.